1.
A geometry-optimized TmTh3Sc structure, computed with GGA-PBE.

## Properties
energy above the most stable polymorph in this dataset: 0 meV per atom
space group: P-1

Geometry as POSCAR:
```
TmTh3Sc
1.0
5.9602 0.5523 -0.7734
1.3304 9.0617 1.1450
-0.4109 1.2967 5.9459
Th Tm Sc
6 2 2
Cartesian
6.4238 9.4197 5.5777
1.3374 4.5568 2.2073
1.8234 1.5595 3.9350
5.0562 9.3512 2.3824
5.5422 6.3539 4.1101
0.4558 1.4910 0.7397
4.0791 6.3194 0.9152
2.8005 4.5913 5.4022
4.5859 3.3170 2.6699
2.2937 7.5937 3.6475
```

***

2.
A geometry-optimized Ba2TiV structure, computed with GGA-PBE.

## Properties
energy above the most stable polymorph in this dataset: 0 meV per atom
space group: Fm-3m

Geometry as POSCAR:
```
Ba2TiV
1.0
0.0000 4.1913 4.1913
4.1913 0.0000 4.1913
4.1913 4.1913 0.0000
Ba V Ti
2 1 1
Cartesian
2.0957 2.0957 2.0957
6.2870 6.2870 6.2870
4.1913 4.1913 4.1913
0.0000 0.0000 0.0000
```

***

3.
A geometry-optimized Nb2GeOs structure, computed with GGA-PBE.

## Properties
space group: I-42d
VASP energy: -69.322 eV per cell

Geometry as POSCAR:
```
Nb2GeOs
1.0
7.0978 0.0000 0.0000
0.0000 7.0978 0.0000
3.5489 3.5489 2.8709
Nb Os Ge
4 2 2
Cartesian
8.8722 8.9341 2.1532
5.3233 5.2614 2.1532
1.7126 5.3233 0.7177
5.3852 1.7744 0.7177
7.0978 3.5489 1.4355
0.0000 0.0000 0.0000
3.5489 7.0978 1.4355
3.5489 3.5489 0.0000
```

***

4.
A geometry-optimized Dy4Y3Tm5 structure, computed with GGA-PBE.

## Properties
energy above the most stable polymorph in this dataset: 0 meV per atom
space group: P-1

Geometry as POSCAR:
```
Dy4Y3Tm5
1.0
-0.2403 6.1304 3.4935
-8.3472 -5.9781 -4.3429
7.7773 2.9472 9.6120
Y Dy Tm
3 4 5
Cartesian
1.0565 3.5652 4.5175
-1.8667 -0.4657 4.2451
3.8886 1.4736 4.8060
1.1809 0.5029 2.7642
0.7346 3.5861 8.0278
-1.9911 2.5966 5.9983
-1.5448 -0.4867 0.7348
3.5496 1.4949 8.3096
0.8489 0.5096 6.2890
-1.6591 2.5899 2.4736
3.7685 4.5388 6.5527
-4.3599 1.6046 0.4529
```

***

5.
A geometry-optimized Mg3AgRh2 structure, computed with GGA-PBE.

## Properties
energy above the most stable polymorph in this dataset: 11 meV per atom
space group: P4/mmm

Geometry as POSCAR:
```
Mg3AgRh2
1.0
3.2012 0.0000 0.0000
0.0000 3.2012 0.0000
0.0000 0.0000 9.4644
Rh Mg Ag
2 3 1
Cartesian
1.6006 1.6006 1.5455
1.6006 1.6006 7.9189
0.0000 0.0000 0.0000
0.0000 0.0000 6.5180
0.0000 0.0000 2.9464
1.6006 1.6006 4.7322
```

***

6.
A geometry-optimized LiPaBiRh structure, computed with GGA-PBE.

## Properties
space group: F-43m
VASP energy: -23.773 eV per cell

Geometry as POSCAR:
```
LiPaBiRh
1.0
4.8490 0.0000 0.0000
2.4245 4.1993 0.0000
2.4245 1.3998 3.9592
Li Bi Pa Rh
1 1 1 1
Cartesian
0.0000 0.0000 0.0000
2.4245 1.3998 0.9898
7.2735 4.1993 2.9694
4.8490 2.7996 1.9796
```

***

7.
A geometry-optimized Tl2PbF structure, computed with GGA-PBE.

## Properties
formation energy without anion corrections: -0.680 eV/atom
energy above the most stable polymorph in this dataset: 0 meV per atom
space group: R-3m

Geometry as POSCAR:
```
Tl2PbF
1.0
-2.9498 1.0406 1.4662
-0.8085 -1.0520 3.1896
3.7960 8.5363 5.6483
Tl Pb F
2 1 1
Cartesian
2.1659 5.7790 4.3257
-2.1282 2.7459 5.9784
0.0000 0.0000 0.0000
0.0188 4.2625 5.1521
```

***

8.
A geometry-optimized ZrRe2GeO structure, computed with GGA-PBE.

## Properties
formation energy without anion corrections: 1.771 eV/atom
space group: P4/mmm

Geometry as POSCAR:
```
ZrRe2GeO
1.0
-0.8883 -4.3993 -0.1878
3.8431 -0.9158 3.2749
-2.8410 0.4262 3.4532
Re Zr O Ge
2 1 1 1
Cartesian
-1.4205 0.2131 1.7266
-0.4441 -2.1996 -0.0939
1.9216 -0.4579 1.6374
0.0569 -2.4444 3.2701
0.0000 0.0000 0.0000
```

***

Magnetization across the listed records, respectively: 0.00 1.99 0.00 0.00 0.00 0.00 0.00 0.00 μB per atom.